No. 1
## BaRu3S (PBE)

Data for a geometry-optimized BaRu3S structure.

For the raw formation energy, the calculation gives 0.3495 eV per atom. As for the relative energy among the computed polymorphs: 0 meV per atom. The calculation puts the final energy at -6.426 eV per atom.

The structure belongs to space group Pm-3m (No. 221); the cell edges are 4.5595, 4.5595 and 4.5595 Å and the angles 90.00°, 90.00° and 90.00°. Symmetry generates all atoms from Ba at (0.0000, 0.0000, 0.0000), Ru at (0.0000, 0.5000, 0.5000) and S at (0.5000, 0.5000, 0.5000).

---

No. 2
## Ba2SiRuS (PBE)

Data for a geometry-optimized Ba2SiRuS structure.

For the raw formation energy, the calculation gives 0.5278 eV per atom. The calculation puts the final energy at -4.007 eV per atom.

The structure belongs to space group P4/mmm (No. 123); the cell edges are 6.2398, 6.2398 and 4.5237 Å and the angles 90.00°, 90.00° and 90.00°. Symmetry generates all atoms from Ba at (0.0000, 0.5000, 0.0000), Si at (0.0000, 0.0000, 0.0000), Ru at (0.5000, 0.5000, 0.5000) and S at (0.0000, 0.0000, 0.5000).

---

No. 3
## BaTc2RuS (PBE)

Data for a geometry-optimized BaTc2RuS structure.

For the raw formation energy, the calculation gives 3.1619 eV per atom. The calculation puts the final energy at -4.050 eV per atom.

The structure belongs to space group P4/mmm (No. 123); the cell edges are 4.9199, 4.9199 and 5.3928 Å and the angles 90.00°, 90.00° and 90.00°. Symmetry generates all atoms from Ba at (0.0000, 0.0000, 0.0000), Tc at (0.0000, 0.5000, 0.0000), Ru at (0.5000, 0.5000, 0.5000) and S at (0.0000, 0.0000, 0.5000).

---

No. 4
## Ba2TiRuS (PBE)

Data for a geometry-optimized Ba2TiRuS structure.

For the raw formation energy, the calculation gives 0.3016 eV per atom. The calculation puts the final energy at -4.727 eV per atom.

The structure belongs to space group P4/mmm (No. 123); the cell edges are 6.3068, 6.3068 and 4.3640 Å and the angles 90.00°, 90.00° and 90.00°. Symmetry generates all atoms from Ba at (0.0000, 0.5000, 0.0000), Ti at (0.0000, 0.0000, 0.5000), Ru at (0.5000, 0.5000, 0.0000) and S at (0.5000, 0.5000, 0.5000).

---

What is the raw formation energy in the first record? 0.3495 eV per atom